Entry 1:
# La3ZnH

A PBEsol-optimized structure of La3ZnH (meta-GGA SCAN, Alexandria via LeMat-Bulk).

Calculated values
Magnetic moment (μB per cell): 0.0

```
data_La3ZnH
_symmetry_space_group_name_H-M 'P 1'
_symmetry_Int_Tables_number 1
_cell_length_a 4.925
_cell_length_b 4.925
_cell_length_c 4.925
_cell_angle_alpha 90.00
_cell_angle_beta 90.00
_cell_angle_gamma 90.00
loop_
_symmetry_equiv_pos_as_xyz
'x,y,z'
loop_
_atom_site_label
_atom_site_type_symbol
_atom_site_fract_x
_atom_site_fract_y
_atom_site_fract_z
H1 H 0.000 0.000 0.000
La1 La 0.000 0.500 0.000
La2 La 0.000 0.000 0.500
La3 La 0.500 0.000 0.000
Zn1 Zn 0.500 0.500 0.500
```



Entry 2:
# La2ZnH2

A PBEsol-optimized structure of La2ZnH2 (meta-GGA SCAN, Alexandria via LeMat-Bulk).

Calculated values
Magnetic moment (μB per cell): 0.0

```
data_La2ZnH2
_symmetry_space_group_name_H-M 'P 1'
_symmetry_Int_Tables_number 1
_cell_length_a 3.878
_cell_length_b 3.878
_cell_length_c 6.856
_cell_angle_alpha 106.43
_cell_angle_beta 106.43
_cell_angle_gamma 90.00
loop_
_symmetry_equiv_pos_as_xyz
'x,y,z'
loop_
_atom_site_label
_atom_site_type_symbol
_atom_site_fract_x
_atom_site_fract_y
_atom_site_fract_z
La1 La 0.358 0.358 0.716
La2 La 0.642 0.642 0.284
H1 H 0.750 0.250 0.500
H2 H 0.250 0.750 0.500
Zn1 Zn 0.000 0.000 0.000
```



Entry 3:
# LaZr3H

A PBEsol-optimized structure of LaZr3H (meta-GGA SCAN, Alexandria via LeMat-Bulk).

Calculated values
Magnetic moment (μB per cell): 0.0

```
data_LaZr3H
_symmetry_space_group_name_H-M 'P 1'
_symmetry_Int_Tables_number 1
_cell_length_a 4.593
_cell_length_b 4.593
_cell_length_c 4.593
_cell_angle_alpha 90.00
_cell_angle_beta 90.00
_cell_angle_gamma 90.00
loop_
_symmetry_equiv_pos_as_xyz
'x,y,z'
loop_
_atom_site_label
_atom_site_type_symbol
_atom_site_fract_x
_atom_site_fract_y
_atom_site_fract_z
H1 H 0.000 0.000 0.000
Zr1 Zr 0.000 0.000 0.500
Zr2 Zr 0.000 0.500 0.000
Zr3 Zr 0.500 0.000 0.000
La1 La 0.500 0.500 0.500
```



Entry 4:
# LiH

A PBEsol-optimized structure of LiH (meta-GGA SCAN, Alexandria via LeMat-Bulk).

Calculated values
Magnetic moment (μB per cell): 0.0

```
data_LiH
_symmetry_space_group_name_H-M 'P 1'
_symmetry_Int_Tables_number 1
_cell_length_a 2.809
_cell_length_b 2.809
_cell_length_c 2.809
_cell_angle_alpha 60.00
_cell_angle_beta 60.00
_cell_angle_gamma 60.00
loop_
_symmetry_equiv_pos_as_xyz
'x,y,z'
loop_
_atom_site_label
_atom_site_type_symbol
_atom_site_fract_x
_atom_site_fract_y
_atom_site_fract_z
Li1 Li 0.000 0.000 0.000
H1 H 0.500 0.500 0.500
```



Entry 5:
# Li4MgH3N3

A PBEsol-optimized structure of Li4MgH3N3 (meta-GGA SCAN, Alexandria via LeMat-Bulk).

Calculated values
Magnetic moment (μB per cell): 0.0

```
data_Li4MgH3N3
_symmetry_space_group_name_H-M 'P 1'
_symmetry_Int_Tables_number 1
_cell_length_a 3.641
_cell_length_b 4.686
_cell_length_c 6.051
_cell_angle_alpha 112.78
_cell_angle_beta 107.51
_cell_angle_gamma 90.00
loop_
_symmetry_equiv_pos_as_xyz
'x,y,z'
loop_
_atom_site_label
_atom_site_type_symbol
_atom_site_fract_x
_atom_site_fract_y
_atom_site_fract_z
N1 N 0.500 0.739 0.000
N2 N 0.834 0.095 0.668
N3 N 0.166 0.428 0.332
H1 H 0.896 0.985 0.792
H2 H 0.104 0.193 0.208
H3 H 0.500 0.959 0.000
Mg1 Mg 0.000 0.530 0.000
Li1 Li 0.320 0.817 0.639
Li2 Li 0.673 0.673 0.346
Li3 Li 0.327 0.327 0.654
Li4 Li 0.680 0.178 0.361
```



Entry 6:
# LiMgH2Pt

A PBEsol-optimized structure of LiMgH2Pt (meta-GGA SCAN, Alexandria via LeMat-Bulk).

Calculated values
Magnetic moment (μB per cell): 0.0

```
data_LiMgH2Pt
_symmetry_space_group_name_H-M 'P 1'
_symmetry_Int_Tables_number 1
_cell_length_a 3.609
_cell_length_b 3.609
_cell_length_c 4.649
_cell_angle_alpha 90.00
_cell_angle_beta 90.00
_cell_angle_gamma 90.00
loop_
_symmetry_equiv_pos_as_xyz
'x,y,z'
loop_
_atom_site_label
_atom_site_type_symbol
_atom_site_fract_x
_atom_site_fract_y
_atom_site_fract_z
H1 H 0.500 0.000 0.000
H2 H 0.000 0.500 0.000
Li1 Li 0.000 0.000 0.500
Pt1 Pt 0.000 0.000 0.000
Mg1 Mg 0.500 0.500 0.500
```



Entry 7:
# LiMg2H7Ru

A PBEsol-optimized structure of LiMg2H7Ru (meta-GGA SCAN, Alexandria via LeMat-Bulk).

Calculated values
Magnetic moment (μB per cell): 0.0

```
data_LiMg2H7Ru
_symmetry_space_group_name_H-M 'P 1'
_symmetry_Int_Tables_number 1
_cell_length_a 4.642
_cell_length_b 4.642
_cell_length_c 10.628
_cell_angle_alpha 90.00
_cell_angle_beta 90.00
_cell_angle_gamma 120.00
loop_
_symmetry_equiv_pos_as_xyz
'x,y,z'
loop_
_atom_site_label
_atom_site_type_symbol
_atom_site_fract_x
_atom_site_fract_y
_atom_site_fract_z
H1 H 0.833 0.666 0.404
H2 H 0.666 0.833 0.904
H3 H 0.833 0.167 0.404
H4 H 0.833 0.167 0.096
H5 H 0.167 0.833 0.904
H6 H 0.334 0.167 0.404
H7 H 0.666 0.833 0.596
H8 H 0.167 0.334 0.596
H9 H 0.333 0.667 0.250
H10 H 0.334 0.167 0.096
H11 H 0.833 0.666 0.096
H12 H 0.167 0.833 0.596
H13 H 0.167 0.334 0.904
H14 H 0.667 0.333 0.750
Li1 Li 0.000 0.000 0.250
Li2 Li 0.000 0.000 0.750
Mg1 Mg 0.333 0.667 0.075
Mg2 Mg 0.667 0.333 0.925
Mg3 Mg 0.333 0.667 0.425
Mg4 Mg 0.667 0.333 0.575
Ru1 Ru 0.000 0.000 0.000
Ru2 Ru 0.000 0.000 0.500
```



Number 1: DFT total energy -147.326 eV per cell. Number 2: DFT total energy -109.486 eV per cell. Number 3: DFT total energy -138.605 eV per cell. Number 4: DFT total energy -6.809 eV per cell. Number 5: DFT total energy -60.334 eV per cell. Number 6: DFT total energy -84.070 eV per cell. Number 7: DFT total energy -152.385 eV per cell.